The following is a DFT calculation (PBEsol) of Sc5Cd4 after structural relaxation.

Geometry as POSCAR:
```
Sc5Cd4
1.0
8.586 0.000 0.000
-4.293 7.436 0.000
0.000 0.000 6.102
Sc Cd
10 8
Direct
0.000 0.309 0.250 Sc
0.000 0.691 0.750 Sc
0.309 0.000 0.250 Sc
0.309 0.309 0.750 Sc
0.333 0.667 0.000 Sc
0.333 0.667 0.500 Sc
0.667 0.333 0.000 Sc
0.667 0.333 0.500 Sc
0.691 0.000 0.750 Sc
0.691 0.691 0.250 Sc
0.000 0.000 0.000 Cd
0.000 0.000 0.500 Cd
0.000 0.360 0.750 Cd
0.000 0.640 0.250 Cd
0.360 0.000 0.750 Cd
0.360 0.360 0.250 Cd
0.640 0.000 0.250 Cd
0.640 0.640 0.750 Cd
```

Computed properties:
DFT formation energy   -235.0 meV/atom
Magnetization   0.000 μB per atom
Uncorrected energy   -4.436 eV per atom



The following is a DFT calculation (PBEsol) of ScCdSe after structural relaxation.

Geometry as POSCAR:
```
ScCdSe
1.0
0.000 3.289 3.289
3.289 0.000 3.289
3.289 3.289 0.000
Sc Cd Se
1 1 1
Direct
0.000 0.000 0.000 Sc
0.750 0.750 0.750 Cd
0.250 0.250 0.250 Se
```

Computed properties:
Magnetization   0.007 μB per atom
Uncorrected energy   -4.297 eV per atom
Formation energy from raw total energies   -413 meV per atom